Version A
First-principles (GGA-PBE) data for crystalline LaGdNi at its relaxed geometry, as listed in OQMD.

Output
**Calculated volume**: 24.237 A^3/atom
**Density**: 8.10 g/cm3

```
LaGdNi
1.0
4.465 0.000 0.000
0.000 6.506 3.755
0.000 -6.506 3.755
Gd La Ni
3 3 3
Direct
0.000 0.000 0.000
0.500 0.667 0.333
0.500 0.333 0.667
0.000 0.592 0.000
0.000 0.408 0.408
0.000 0.000 0.592
0.500 0.254 0.000
0.500 0.000 0.254
0.500 0.746 0.746
```

---

Version B
First-principles (GGA-PBE) data for crystalline LaGdNi at its relaxed geometry, as listed in OQMD.

Output
**Calculated volume**: 27.060 A^3/atom
**Density**: 7.26 g/cm3

```
LaGdNi
1.0
-3.857 -2.842 -0.820
-3.303 -0.683 3.499
-4.424 1.968 -0.417
Gd La Ni
1 1 1
Direct
0.250 0.250 0.250
0.750 0.750 0.750
0.000 0.000 0.000
```

---

Q: Which of them is the most stable? A: version B.

---

Version A
First-principles (GGA-PBE) data for crystalline LaGdPO at its relaxed geometry, as listed in OQMD.

Output
**Calculated volume**: 22.410 A^3/atom
**Density**: 6.36 g/cm3

```
LaGdPO
1.0
4.438 0.000 0.000
0.000 4.438 0.000
0.000 0.000 9.104
Gd La O P
2 2 2 2
Direct
0.750 0.250 0.500
0.250 0.750 0.500
0.250 0.250 0.113
0.750 0.750 0.887
0.750 0.250 0.000
0.250 0.750 0.000
0.750 0.750 0.314
0.250 0.250 0.686
```

---

Version B
First-principles (GGA-PBE) data for crystalline LaGdPO at its relaxed geometry, as listed in OQMD.

Output
**Calculated volume**: 25.077 A^3/atom
**Density**: 5.68 g/cm3

```
LaGdPO
1.0
4.347 0.000 0.000
0.000 7.595 0.000
0.000 0.000 6.076
Gd La O P
2 2 2 2
Direct
0.000 0.381 0.006
0.000 0.619 0.506
0.500 0.199 0.439
0.500 0.801 0.939
0.000 0.337 0.374
0.000 0.663 0.874
0.500 0.822 0.434
0.500 0.178 0.934
```

---

Version C
First-principles (GGA-PBE) data for crystalline LaGdPO at its relaxed geometry, as listed in OQMD.

Output
**Calculated volume**: 21.085 A^3/atom
**Density**: 6.76 g/cm3

```
LaGdPO
1.0
-1.567 -3.367 -2.096
-0.487 -2.073 3.694
-8.563 3.474 0.820
Gd La O P
2 2 2 2
Direct
0.000 0.500 0.102
0.500 0.000 0.898
0.000 0.000 0.500
0.500 0.500 0.500
0.000 0.000 0.000
0.500 0.500 0.000
0.500 0.000 0.286
0.000 0.500 0.714
```

---

Q: Which of them is the most stable? A: version B.

---

Version A
First-principles (GGA-PBE) data for crystalline LaGd2Sn2Pb5 at its relaxed geometry, as listed in OQMD.

Output
**Calculated volume**: 28.749 A^3/atom
**Density**: 9.97 g/cm3

```
LaGd2Sn2Pb5
1.0
2.342 -12.915 0.000
2.342 12.915 0.000
0.000 0.000 4.753
Gd La Pb Sn
2 1 5 2
Direct
0.813 0.187 0.000
0.187 0.813 0.000
0.000 0.000 0.000
0.901 0.099 0.500
0.706 0.294 0.500
0.500 0.500 0.500
0.294 0.706 0.500
0.099 0.901 0.500
0.598 0.402 0.000
0.402 0.598 0.000
```

---

Version B
First-principles (GGA-PBE) data for crystalline LaGd2Sn2Pb5 at its relaxed geometry, as listed in OQMD.

Output
**Calculated volume**: 28.764 A^3/atom
**Density**: 9.97 g/cm3

```
LaGd2Sn2Pb5
1.0
-1.315 9.619 -8.875
0.344 -12.137 5.059
-4.641 0.283 0.994
Gd La Pb Sn
2 1 5 2
Direct
0.808 0.192 0.000
0.192 0.808 0.000
0.000 0.000 0.000
0.601 0.399 0.000
0.399 0.601 0.000
0.898 0.102 0.500
0.500 0.500 0.500
0.102 0.898 0.500
0.709 0.291 0.500
0.291 0.709 0.500
```

---

Q: Which of them is the most stable? A: version B.

---

Version A
First-principles (GGA-PBE) data for crystalline Li8Gd4O11 at its relaxed geometry, as listed in OQMD.

Output
**Calculated volume**: 11.815 A^3/atom
**Density**: 5.26 g/cm3

```
Li8Gd4O11
1.0
5.606 9.757 -2.471
1.343 -4.620 -2.869
-4.777 1.052 -1.796
Gd Li O
4 8 11
Direct
0.926 0.182 0.101
0.077 0.755 0.866
0.583 0.839 0.985
0.425 0.189 0.993
0.459 0.962 0.437
0.221 0.785 0.447
0.353 0.370 0.468
0.694 0.639 0.528
0.766 0.247 0.546
0.938 0.941 0.548
0.253 0.481 0.885
0.746 0.519 0.992
0.433 0.590 0.202
0.285 0.963 0.204
0.613 0.232 0.286
0.776 0.896 0.288
0.021 0.650 0.380
0.369 0.754 0.690
0.220 0.095 0.699
0.545 0.422 0.722
0.878 0.751 0.816
0.050 0.338 0.816
0.746 0.152 0.858
```

---

Version B
First-principles (GGA-PBE) data for crystalline Li8Gd4O11 at its relaxed geometry, as listed in OQMD.

Output
**Calculated volume**: 11.652 A^3/atom
**Density**: 5.33 g/cm3

```
Li8Gd4O11
1.0
2.854 11.310 -2.212
1.581 -3.366 4.591
3.088 -2.143 -3.459
Gd Li O
4 8 11
Direct
0.100 0.915 0.029
0.558 0.760 0.922
0.400 0.060 0.933
0.921 0.176 0.944
0.289 0.565 0.262
0.934 0.872 0.390
0.114 0.598 0.441
0.805 0.346 0.449
0.689 0.597 0.469
0.557 0.071 0.523
0.219 0.399 0.675
0.751 0.454 0.956
0.758 0.823 0.181
0.601 0.166 0.195
0.948 0.557 0.230
0.272 0.877 0.264
0.090 0.229 0.297
0.398 0.751 0.636
0.722 0.086 0.704
0.901 0.787 0.724
0.575 0.414 0.734
0.129 0.586 0.815
0.321 0.337 0.967
```

---

Q: Which of them is the most stable? A: version B.

---

Version A
First-principles (GGA-PBE) data for crystalline LiGdSO at its relaxed geometry, as listed in OQMD.

Output
**Calculated volume**: 19.283 A^3/atom
**Density**: 4.57 g/cm3

```
LiGdSO
1.0
-1.554 -3.347 1.565
0.575 -2.814 -5.446
5.732 -1.916 1.594
Gd Li O S
2 2 2 2
Direct
0.500 0.825 0.014
0.500 0.175 0.514
0.000 0.277 0.088
0.000 0.723 0.588
0.500 0.135 0.169
0.500 0.865 0.669
0.000 0.644 0.220
0.000 0.356 0.720
```

---

Version B
First-principles (GGA-PBE) data for crystalline LiGdSO at its relaxed geometry, as listed in OQMD.

Output
**Calculated volume**: 17.794 A^3/atom
**Density**: 4.95 g/cm3

```
LiGdSO
1.0
-3.741 -1.336 3.849
-0.381 -5.155 -2.159
6.739 -2.830 5.567
Gd Li O S
4 4 4 4
Direct
0.089 0.004 0.312
0.589 0.496 0.312
0.089 0.504 0.688
0.589 0.996 0.688
0.452 0.145 0.037
0.952 0.355 0.037
0.452 0.645 0.963
0.952 0.855 0.963
0.120 0.061 0.095
0.620 0.439 0.095
0.120 0.561 0.905
0.620 0.939 0.905
0.089 0.507 0.355
0.589 0.993 0.355
0.089 0.007 0.645
0.589 0.493 0.645
```

---

Q: Which of them is the most stable? A: version B.

---

Version A
First-principles (GGA-PBE) data for crystalline LiGdSO at its relaxed geometry, as listed in OQMD.

Output
**Calculated volume**: 15.921 A^3/atom
**Density**: 5.53 g/cm3

```
LiGdSO
1.0
3.859 0.000 0.000
0.000 3.859 0.000
0.000 0.000 8.555
Gd Li O S
2 2 2 2
Direct
0.250 0.250 0.135
0.750 0.750 0.865
0.750 0.250 0.500
0.250 0.750 0.500
0.750 0.250 0.000
0.250 0.750 0.000
0.750 0.750 0.329
0.250 0.250 0.671
```

---

Version B
First-principles (GGA-PBE) data for crystalline LiGdSO at its relaxed geometry, as listed in OQMD.

Output
**Calculated volume**: 15.377 A^3/atom
**Density**: 5.73 g/cm3

```
LiGdSO
1.0
-3.564 3.540 2.692
-4.740 -5.099 0.432
2.958 -2.326 5.001
Gd Li O S
4 4 4 4
Direct
0.382 0.092 0.249
0.618 0.592 0.251
0.382 0.408 0.749
0.618 0.908 0.751
0.111 0.725 0.003
0.889 0.225 0.497
0.111 0.775 0.503
0.889 0.275 0.997
0.573 0.306 0.060
0.427 0.806 0.440
0.573 0.194 0.560
0.427 0.694 0.940
0.870 0.934 0.212
0.130 0.434 0.288
0.870 0.566 0.712
0.130 0.066 0.788
```

---

Q: Which of them is the most stable? A: version A.